No. 1
DFT (PBE-GGA) results for a relaxed LaBeH crystal.

The structure in extended XYZ format:
```
6
Lattice="3.6643 0.0000 0.0000 0.0000 3.9439 0.0000 -1.8123 0.0000 6.6484" Properties=species:S:1:pos:R:3 pbc="T T T"
La 0.0002 0.9860 1.8518
La 1.8518 2.9579 4.7966
Be 0.0185 0.9860 6.2101
Be 1.8335 2.9579 0.4383
H 0.0219 0.9860 4.6636
H 1.8301 2.9579 1.9848
```

Values from the calculation:
Polymorph energy (0 for the lowest one) in kJ per mole of atoms: 3.0
Symmetry: No. 11
DOS at the Fermi energy in states/eV per cell: 3.72


No. 2
DFT (PBE-GGA) results for a relaxed LaBeH2 crystal.

The structure in extended XYZ format:
```
8
Lattice="-2.1581 2.1581 5.0254 2.1581 -2.1581 5.0254 2.1581 2.1581 -5.0254" Properties=species:S:1:pos:R:3 pbc="T T T"
La 0.0000 0.0000 0.0000
La 0.0000 2.1581 2.5127
Be 2.1581 0.0000 2.5127
Be 0.0000 0.0000 5.0254
H 1.0791 -0.0119 3.7690
H 2.1463 1.0791 1.2563
H 1.0791 2.1700 -1.2563
H 0.0119 1.0791 6.2817
```

Values from the calculation:
Polymorph energy (0 for the lowest one) in kJ per mole of atoms: 2.2
Symmetry: No. 122
DOS at the Fermi energy in states/eV per cell: 4.20


No. 3
DFT (PBE-GGA) results for a relaxed LaBeH4 crystal.

The structure in extended XYZ format:
```
12
Lattice="6.6482 0.0000 0.0000 0.0000 4.6707 0.0000 0.0000 0.0000 4.1120" Properties=species:S:1:pos:R:3 pbc="T T T"
La 0.0000 0.9009 0.0000
La 3.3241 3.7698 2.0560
Be 0.0000 3.3565 2.3279
Be 3.3241 1.3142 0.2719
H 0.0000 2.0000 1.9984
H 0.0000 3.2623 3.7768
H 1.0342 4.3643 2.0131
H 2.2899 0.3064 4.0691
H 3.3241 1.4084 1.7208
H 3.3241 2.6707 4.0544
H 4.3583 0.3064 4.0691
H 5.6141 4.3643 2.0131
```

Values from the calculation:
Symmetry: No. 31
DOS at the Fermi energy in states/eV per cell: 3.22


No. 4
DFT (PBE-GGA) results for a relaxed LaBe2H crystal.

The structure in extended XYZ format:
```
4
Lattice="0.0000 3.1887 3.1887 3.1887 0.0000 3.1887 3.1887 3.1887 0.0000" Properties=species:S:1:pos:R:3 pbc="T T T"
La 0.0000 0.0000 0.0000
Be 1.5944 1.5944 1.5944
Be 4.7831 4.7831 4.7831
H 3.1887 3.1887 3.1887
```

Values from the calculation:
Polymorph energy (0 for the lowest one) in kJ per mole of atoms: 65.1
Symmetry: No. 225
DOS at the Fermi energy in states/eV per cell: 1.09


No. 5
DFT (PBE-GGA) results for a relaxed LaBe2H6 crystal.

The structure in extended XYZ format:
```
9
Lattice="0.0000 3.4100 3.4100 3.4100 0.0000 3.4100 3.4100 3.4100 0.0000" Properties=species:S:1:pos:R:3 pbc="T T T"
La 0.0000 0.0000 0.0000
Be 1.7050 1.7050 1.7050
Be 5.1150 5.1150 5.1150
H 3.4100 3.4100 2.4666
H 3.4100 2.4666 3.4100
H 4.3534 3.4100 3.4100
H 2.4666 3.4100 3.4100
H 3.4100 4.3534 3.4100
H 3.4100 3.4100 4.3534
```

Values from the calculation:
Polymorph energy (0 for the lowest one) in kJ per mole of atoms: 118.7
Symmetry: No. 225
DOS at the Fermi energy in states/eV per cell: 4.24


No. 6
DFT (PBE-GGA) results for a relaxed La12Be3H5 crystal.

The structure in extended XYZ format:
```
80
Lattice="-7.9226 7.9226 7.9226 7.9226 -7.9226 7.9226 7.9226 7.9226 -7.9226" Properties=species:S:1:pos:R:3 pbc="T T T"
La 2.4247 -0.5567 1.0378
La 9.4592 4.9991 -4.5180
La 7.3659 -1.0378 2.4247
La 12.4406 -1.5366 2.9235
La 10.3473 0.5567 1.0378
La 9.4592 -2.9235 4.5180
La 1.0378 2.4247 -0.5567
La 10.8461 3.4046 -1.5366
La 4.9991 4.5180 -1.5366
La 6.8848 2.4247 0.5567
La -0.5567 1.0378 2.4247
La 4.5180 -1.5366 4.9991
La 7.3659 6.8848 -2.4247
La 4.5180 1.5366 2.9235
La 6.8848 -2.4247 7.3659
La 4.9991 -4.5180 9.4592
La 2.9235 4.5180 1.5366
La 8.9604 5.4979 0.5567
La 2.4247 7.3659 -1.0378
La 9.4592 2.9235 3.4046
La 4.5180 9.4592 -2.9235
La 7.3659 1.0378 5.4979
La 1.5366 2.9235 4.5180
La 2.4247 0.5567 6.8848
La 5.4979 7.3659 1.0378
La 6.3860 4.9991 3.4046
La 0.5567 6.8848 2.4247
La 3.4046 -1.5366 10.8461
La -1.5366 4.9991 4.5180
La 5.4979 0.5567 8.9604
La -1.0378 2.4247 7.3659
La 4.9991 3.4046 6.3860
La 2.9235 12.4406 -1.5366
La 1.0378 10.3473 0.5567
La 3.4046 6.3860 4.9991
La 0.5567 1.0378 10.3473
La 3.4046 9.4592 2.9235
La 8.4793 6.8848 5.4979
La 1.0378 5.4979 7.3659
La 2.9235 3.4046 9.4592
La -2.9235 4.5180 9.4592
La 6.8848 5.4979 8.4793
La -1.5366 10.8461 3.4046
La -2.4247 7.3659 6.8848
La -4.5180 9.4592 4.9991
La 0.5567 8.9604 5.4979
La -1.5366 2.9235 12.4406
La 5.4979 8.4793 6.8848
Be 3.9613 1.9806 0.0000
Be 7.9226 3.9613 -1.9806
Be 1.9806 0.0000 3.9613
Be 9.9032 0.0000 3.9613
Be 0.0000 3.9613 1.9806
Be 3.9613 -1.9806 7.9226
Be 3.9613 9.9032 0.0000
Be 7.9226 3.9613 5.9419
Be -1.9806 7.9226 3.9613
Be 5.9419 7.9226 3.9613
Be 0.0000 3.9613 9.9032
Be 3.9613 5.9419 7.9226
H 0.0000 0.0000 0.0000
H 3.9613 3.9613 -3.9613
H 3.9613 -3.9613 3.9613
H 7.9226 0.0000 0.0000
H 11.8839 1.9806 0.0000
H 7.9226 -3.9613 5.9419
H 5.9419 7.9226 -3.9613
H 5.9419 0.0000 3.9613
H 3.9613 5.9419 0.0000
H 7.9226 3.9613 1.9806
H -3.9613 3.9613 3.9613
H 0.0000 7.9226 0.0000
H 0.0000 0.0000 7.9226
H 3.9613 3.9613 3.9613
H 0.0000 3.9613 5.9419
H 3.9613 1.9806 7.9226
H 1.9806 7.9226 3.9613
H 1.9806 0.0000 11.8839
H 0.0000 11.8839 1.9806
H -3.9613 5.9419 7.9226
```

Values from the calculation:
Symmetry: No. 230
DOS at the Fermi energy in states/eV per cell: 97.11


It is found that the calculated density values, taken in the order of the records, are 5.1 5.3 4.0 4.0 3.4 5.7 Mg/m³.
It is found that the total magnetization values, taken in the order of the records, are 0.00 0.00 0.00 0.00 0.00 0.00 μB per formula unit.
It is found that the VASP energy values, taken in the order of the records, are -4.178 -3.845 -4.034 -2.950 -2.631 -4.416 eV per atom.